1.
# meta-GGA SCAN Ag2TeCl, single point on PBEsol structure
# Polymorph energy (0 for the lowest one): 59 meV/atom
# DFT total energy: -108.78 eV per cell
# Raw formation energy: -203 meV per atom
data_Ag2TeCl
_chemical_formula_sum 'Ag2 Te1 Cl1'
_symmetry_space_group_name_H-M 'P m m m'
_symmetry_Int_Tables_number 47
_cell_length_a 3.409
_cell_length_b 3.958
_cell_length_c 6.886
_cell_angle_alpha 90.00
_cell_angle_beta 90.00
_cell_angle_gamma 90.00
loop_
_symmetry_equiv_pos_as_xyz
'x,y,z'
'-x,-y,-z'
'-x,-y,z'
'x,y,-z'
'x,-y,-z'
'-x,y,z'
'-x,y,-z'
'x,-y,z'
loop_
_atom_site_label
_atom_site_type_symbol
_atom_site_fract_x
_atom_site_fract_y
_atom_site_fract_z
Ag1 Ag 0.000 0.000 0.206
Te1 Te 0.500 0.500 0.000
Cl1 Cl 0.500 0.000 0.500


2.
# meta-GGA SCAN ZrTi2Pt, single point on PBEsol structure
# DFT total energy: -541.20 eV per cell
# ΔH_f (0 K): -587 meV/atom
data_ZrTi2Pt
_chemical_formula_sum 'Zr4 Ti8 Pt4'
_symmetry_space_group_name_H-M 'F m -3 m'
_symmetry_Int_Tables_number 225
_symmetry_space_group_name_Hall '-F 4 2 3'
_cell_length_a 6.380
_cell_length_b 6.380
_cell_length_c 6.380
_cell_angle_alpha 90.00
_cell_angle_beta 90.00
_cell_angle_gamma 90.00
loop_
_atom_site_label
_atom_site_type_symbol
_atom_site_fract_x
_atom_site_fract_y
_atom_site_fract_z
Zr1 Zr 0.000 0.000 0.000
Ti1 Ti 0.250 0.250 0.250
Pt1 Pt 0.000 0.000 0.500


3.
# meta-GGA SCAN SrTlPO2, single point on PBEsol structure
# DFT total energy: -119.91 eV per cell
# Raw formation energy: -482 meV per atom
data_SrTlPO2
_chemical_formula_sum 'Sr1 Tl1 P1 O2'
_symmetry_space_group_name_H-M 'P 4/m m m'
_symmetry_Int_Tables_number 123
_symmetry_space_group_name_Hall '-P 4 2'
_cell_length_a 4.394
_cell_length_b 4.394
_cell_length_c 4.951
_cell_angle_alpha 90.00
_cell_angle_beta 90.00
_cell_angle_gamma 90.00
loop_
_atom_site_label
_atom_site_type_symbol
_atom_site_fract_x
_atom_site_fract_y
_atom_site_fract_z
Sr1 Sr 0.000 0.000 0.000
Tl1 Tl 0.500 0.500 0.500
P1 P 0.500 0.500 0.000
O1 O 0.000 0.500 0.500


4.
# meta-GGA SCAN Rb3Au7, single point on PBEsol structure
# DFT total energy: -1100.09 eV per cell
# ΔH_f (0 K): -373 meV/atom
data_Rb3Au7
_chemical_formula_sum 'Rb6 Au14'
_symmetry_space_group_name_H-M 'C m m m'
_symmetry_Int_Tables_number 65
_symmetry_space_group_name_Hall '-C 2 2'
_cell_length_a 5.575
_cell_length_b 13.210
_cell_length_c 7.249
_cell_angle_alpha 90.00
_cell_angle_beta 90.00
_cell_angle_gamma 90.00
loop_
_atom_site_label
_atom_site_type_symbol
_atom_site_fract_x
_atom_site_fract_y
_atom_site_fract_z
Rb1 Rb 0.000 0.000 0.000
Rb2 Rb 0.000 0.162 0.500
Au1 Au 0.000 0.393 0.194
Au2 Au 0.000 0.500 0.500
Au3 Au 0.250 0.250 0.000